Entry 1:
A plane-wave DFT calculation with PBE was carried out for an optimized crystal structure of DyEr7Sc3.

Cell lengths 6.8914, 6.8914, 8.2016 Å; angles 90.00, 90.00, 120.00 degrees
Positions (direct):
Dy: 0.0000 0.0000 0.0000
Er: 0.0027 0.5014 0.0088
Er: 0.3306 0.1653 0.6576
Er: 0.3333 0.6667 0.6661
Er: 0.4986 0.5014 0.0088
Er: 0.4986 0.9973 0.0088
Er: 0.8347 0.1653 0.6576
Er: 0.8347 0.6694 0.6576
Sc: 0.1670 0.3340 0.3335
Sc: 0.1670 0.8330 0.3335
Sc: 0.6660 0.8330 0.3335

Properties
Its density of states at the Fermi level is 1.684 states/eV/atom. For the total energy, the calculation gives -4.826 eV/atom.

Entry 2:
A plane-wave DFT calculation with PBE was carried out for an optimized crystal structure of NaSn4Te5.

Cell lengths 7.7945, 7.7945, 7.7945 Å; angles 99.43, 99.43, 132.23 degrees
Positions (direct):
Na: 0.0000 0.0000 0.0000
Sn: 0.2026 0.4069 0.6057
Sn: 0.4069 0.8012 0.2043
Sn: 0.5969 0.2026 0.7957
Sn: 0.8012 0.5969 0.3943
Te: 0.1034 0.6971 0.7963
Te: 0.3071 0.1034 0.4063
Te: 0.5004 0.5004 0.0000
Te: 0.6971 0.9008 0.5937
Te: 0.9008 0.3071 0.2037

Properties
Its density of states at the Fermi level is 0.663 states/eV/atom. Its formation energy from raw total energies is -0.375 eV/atom.

Entry 3:
A plane-wave DFT calculation with PBE was carried out for an optimized crystal structure of Sr3Tl4Cd.

Cell lengths 10.8512, 10.8512, 10.8512 Å; angles 158.17, 143.53, 42.91 degrees
Positions (direct):
Sr: 0.0000 0.0000 0.0000
Sr: 0.2730 0.7730 0.5000
Sr: 0.7270 0.2270 0.5000
Tl: 0.1163 0.3789 0.7374
Tl: 0.3584 0.6211 0.7374
Tl: 0.6416 0.3789 0.2626
Tl: 0.8837 0.6211 0.2626
Cd: 0.5000 0.5000 0.0000

Properties
Its density of states at the Fermi level is 0.504 states/eV/atom. For the total energy, the calculation gives -2.140 eV/atom.

Entry 4:
A plane-wave DFT calculation with PBE was carried out for an optimized crystal structure of La2Rh2F.

Cell lengths 7.4890, 7.4890, 3.9124 Å; angles 90.00, 90.00, 90.00 degrees
Positions (direct):
La: 0.2003 0.2997 0.0000
La: 0.2997 0.7997 0.0000
La: 0.7003 0.2003 0.0000
La: 0.7997 0.7003 0.0000
Rh: 0.1211 0.6211 0.5000
Rh: 0.3789 0.1211 0.5000
Rh: 0.6211 0.8789 0.5000
Rh: 0.8789 0.3789 0.5000
F: 0.0000 0.0000 0.0000
F: 0.5000 0.5000 0.0000

Properties
Its density of states at the Fermi level is 0.755 states/eV/atom. Its formation energy from raw total energies is -1.305 eV/atom.

Entry 5:
A plane-wave DFT calculation with PBE was carried out for an optimized crystal structure of Na3CuO3.

Cell lengths 7.0612, 7.0612, 4.8020 Å; angles 90.00, 90.00, 120.00 degrees
Positions (direct):
Na: 0.0847 0.3509 0.2500
Na: 0.2662 0.9153 0.2500
Na: 0.3509 0.2662 0.7500
Na: 0.6491 0.7338 0.2500
Na: 0.7338 0.0847 0.7500
Na: 0.9153 0.6491 0.7500
Cu: 0.3333 0.6667 0.7500
Cu: 0.6667 0.3333 0.2500
O: 0.0983 0.3943 0.7500
O: 0.2959 0.9017 0.7500
O: 0.3943 0.2959 0.2500
O: 0.6057 0.7041 0.7500
O: 0.7041 0.0983 0.2500
O: 0.9017 0.6057 0.2500

Properties
Its formation energy from raw total energies is -1.044 eV/atom.

Entry 6:
A plane-wave DFT calculation with PBE was carried out for an optimized crystal structure of NaLaY2Cl.

Cell lengths 5.2943, 5.2943, 5.6395 Å; angles 90.00, 90.00, 90.00 degrees
Positions (direct):
Na: 0.0000 0.0000 0.0000
La: 0.5000 0.5000 0.0000
Y: 0.0000 0.5000 0.5000
Y: 0.5000 0.0000 0.5000
Cl: 0.5000 0.5000 0.5000

Properties
Its density of states at the Fermi level is 1.198 states/eV/atom. Its formation energy from raw total energies is -0.296 eV/atom.

Entry 7:
A plane-wave DFT calculation with PBE was carried out for an optimized crystal structure of KPaAlO6.

Cell lengths 5.7873, 5.7873, 4.5961 Å; angles 90.00, 90.00, 120.00 degrees
Positions (direct):
K: 0.0000 0.0000 0.0000
Pa: 0.6667 0.3333 0.5000
Al: 0.3333 0.6667 0.0000
O: 0.0233 0.4734 0.2337
O: 0.0233 0.5499 0.7663
O: 0.4501 0.4734 0.7663
O: 0.4501 0.9767 0.2337
O: 0.5266 0.5499 0.2337
O: 0.5266 0.9767 0.7663

Properties
Its density of states at the Fermi level is 0.247 states/eV/atom. Its formation energy from raw total energies is -2.113 eV/atom.

Entry 8:
A plane-wave DFT calculation with PBE was carried out for an optimized crystal structure of Pm2ThIn.

Cell lengths 4.9817, 4.9817, 4.8701 Å; angles 90.00, 90.00, 90.00 degrees
Positions (direct):
Pm: 0.0000 0.5000 0.0000
Pm: 0.5000 0.0000 0.0000
Th: 0.0000 0.0000 0.5000
In: 0.5000 0.5000 0.5000

Properties
Its density of states at the Fermi level is 1.440 states/eV/atom. For the total energy, the calculation gives -5.132 eV/atom.

Entry 9:
A plane-wave DFT calculation with PBE was carried out for an optimized crystal structure of Sr3CdSn4.

Cell lengths 9.8128, 9.8128, 9.8128 Å; angles 151.25, 139.80, 50.16 degrees
Positions (direct):
Sr: 0.0000 0.0000 0.0000
Sr: 0.3010 0.8010 0.5000
Sr: 0.6990 0.1990 0.5000
Cd: 0.5000 0.5000 0.0000
Sn: 0.0876 0.3785 0.7092
Sn: 0.3307 0.6215 0.7092
Sn: 0.6693 0.3785 0.2908
Sn: 0.9124 0.6215 0.2908

Properties
Its density of states at the Fermi level is 0.651 states/eV/atom. For the total energy, the calculation gives -3.116 eV/atom.

Entry 10:
A plane-wave DFT calculation with PBE was carried out for an optimized crystal structure of Er6CdRu2.

Cell lengths 8.4070, 8.4070, 8.4070 Å; angles 113.02, 112.33, 103.23 degrees
Positions (direct):
Er: 0.0383 0.2414 0.7968
Er: 0.1825 0.2861 0.4687
Er: 0.1825 0.7139 0.8964
Er: 0.3302 0.0167 0.6865
Er: 0.3302 0.6437 0.3135
Er: 0.4446 0.2414 0.2032
Er: 0.5554 0.7586 0.7968
Er: 0.6698 0.3563 0.6865
Er: 0.6698 0.9833 0.3135
Er: 0.8175 0.2861 0.1036
Er: 0.8175 0.7139 0.5313
Er: 0.9617 0.7586 0.2032
Cd: 0.0000 0.0000 0.0000
Cd: 0.5000 0.5000 0.0000
Ru: 0.1289 0.6289 0.5000
Ru: 0.3223 0.0000 0.3223
Ru: 0.6777 0.0000 0.6777
Ru: 0.8711 0.3711 0.5000

Properties
Its density of states at the Fermi level is 0.926 states/eV/atom. For the total energy, the calculation gives -5.554 eV/atom.

Entry 11:
A plane-wave DFT calculation with PBE was carried out for an optimized crystal structure of Tm2PuPaN4.

Cell lengths 5.9644, 3.4579, 5.9835 Å; angles 90.00, 109.49, 90.00 degrees
Positions (direct):
Tm: 0.0000 0.0000 0.0000
Tm: 0.5000 0.5000 0.0000
Pu: 0.0000 0.5000 0.5000
Pa: 0.5000 0.0000 0.5000
N: 0.2571 0.0000 0.7491
N: 0.2570 0.5000 0.2484
N: 0.7429 0.0000 0.2509
N: 0.7430 0.5000 0.7516

Properties
Its density of states at the Fermi level is 0.874 states/eV/atom. Its formation energy from raw total energies is -1.620 eV/atom.

Entry 12:
A plane-wave DFT calculation with PBE was carried out for an optimized crystal structure of BeGe3Te.

Cell lengths 5.4289, 5.4289, 5.4289 Å; angles 90.00, 90.00, 90.00 degrees
Positions (direct):
Be: 0.0000 0.0000 0.0000
Ge: 0.0000 0.5000 0.5000
Ge: 0.5000 0.0000 0.5000
Ge: 0.5000 0.5000 0.0000
Te: 0.5000 0.5000 0.5000

Properties
Its density of states at the Fermi level is 0.608 states/eV/atom. Its formation energy from raw total energies is 1.454 eV/atom.

Entry 13:
A plane-wave DFT calculation with PBE was carried out for an optimized crystal structure of Al2InSe.

Cell lengths 4.9297, 4.9297, 3.5250 Å; angles 90.00, 90.00, 99.46 degrees
Positions (direct):
Al: 0.0000 0.5000 0.0000
Al: 0.5000 0.0000 0.0000
In: 0.0000 0.0000 0.5000
Se: 0.5000 0.5000 0.5000

Properties
Its density of states at the Fermi level is 0.431 states/eV/atom. Its formation energy from raw total energies is 0.095 eV/atom.

Entry 14:
A plane-wave DFT calculation with PBE was carried out for an optimized crystal structure of Zr6BeOs5.

Cell lengths 8.0481, 8.0481, 8.0481 Å; angles 146.48, 132.04, 59.78 degrees
Positions (direct):
Zr: 0.0833 0.3341 0.7492
Zr: 0.2480 0.0000 0.2480
Zr: 0.4150 0.6659 0.7492
Zr: 0.5850 0.3341 0.2508
Zr: 0.7520 0.0000 0.7520
Zr: 0.9167 0.6659 0.2508
Be: 0.0000 0.5000 0.5000
Os: 0.1654 0.1654 0.0000
Os: 0.3331 0.8331 0.5000
Os: 0.5000 0.5000 0.0000
Os: 0.6669 0.1669 0.5000
Os: 0.8346 0.8346 0.0000

Properties
Its density of states at the Fermi level is 0.288 states/eV/atom. For the total energy, the calculation gives -9.709 eV/atom.

Entry 15:
A plane-wave DFT calculation with PBE was carried out for an optimized crystal structure of KMo2W.

Cell lengths 4.8877, 4.8877, 7.5087 Å; angles 90.09, 90.09, 31.23 degrees
Positions (direct):
K: 0.0000 0.0000 0.0000
Mo: 0.2444 0.2444 0.6536
Mo: 0.4984 0.4984 0.4982
W: 0.7540 0.7540 0.3447

Properties
Its density of states at the Fermi level is 1.039 states/eV/atom. For the total energy, the calculation gives -7.759 eV/atom.

Entry 16:
A plane-wave DFT calculation with PBE was carried out for an optimized crystal structure of RhPb2Br.

Cell lengths 3.9171, 3.9171, 7.8224 Å; angles 90.00, 90.00, 90.00 degrees
Positions (direct):
Rh: 0.0000 0.0000 0.0000
Pb: 0.0000 0.0000 0.6628
Pb: 0.5000 0.5000 0.0298
Br: 0.5000 0.5000 0.4836

Properties
Its density of states at the Fermi level is 0.263 states/eV/atom. Its formation energy from raw total energies is -0.102 eV/atom.

Entry 17:
A plane-wave DFT calculation with PBE was carried out for an optimized crystal structure of LuTa6Br13O3.

Cell lengths 28.6869, 28.6869, 28.6869 Å; angles 160.76, 160.76, 27.35 degrees
Positions (direct):
Lu: 0.0957 0.0957 0.0000
Lu: 0.6543 0.1543 0.5000
Lu: 0.8457 0.3457 0.5000
Lu: 0.9043 0.9043 0.0000
Ta: 0.0010 0.0726 0.7024
Ta: 0.0274 0.5015 0.7094
Ta: 0.0487 0.2510 0.4284
Ta: 0.0680 0.2774 0.0259
Ta: 0.0977 0.5430 0.7133
Ta: 0.1344 0.3477 0.0547
Ta: 0.2515 0.0422 0.9741
Ta: 0.2930 0.0797 0.9453
Ta: 0.3702 0.2987 0.2976
Ta: 0.3798 0.1774 0.4284
Ta: 0.4570 0.9023 0.2867
Ta: 0.4985 0.9726 0.2906
Ta: 0.6156 0.1703 0.7133
Ta: 0.6523 0.8656 0.9453
Ta: 0.6820 0.2078 0.7094
Ta: 0.7013 0.6298 0.7024
Ta: 0.7226 0.9320 0.9741
Ta: 0.7490 0.9513 0.5716
Ta: 0.7922 0.3180 0.2906
Ta: 0.8226 0.6202 0.5716
Ta: 0.8297 0.3844 0.2867
Ta: 0.9203 0.7070 0.0547
Ta: 0.9274 0.9990 0.2976
Ta: 0.9578 0.7485 0.0259
Br: 0.0018 0.5018 0.5000
Br: 0.0145 0.8293 0.7003
Br: 0.0375 0.8558 0.5888
Br: 0.0642 0.2645 0.6852
Br: 0.0742 0.5742 0.1484
Br: 0.0858 0.9127 0.5632
Br: 0.0873 0.9142 0.4368
Br: 0.1290 0.3142 0.2997
Br: 0.1322 0.6167 0.1219
Br: 0.1356 0.6250 0.0106
Br: 0.1442 0.9625 0.4112
Br: 0.1707 0.9855 0.2997
Br: 0.1987 0.2875 0.6816
Br: 0.2096 0.0120 0.1609
Br: 0.2518 0.2518 0.0000
Br: 0.2553 0.6333 0.0156
Br: 0.2670 0.4487 0.4112
Br: 0.2726 0.3358 0.6731
Br: 0.3242 0.6758 0.0000
Br: 0.3495 0.5226 0.4368
Br: 0.3667 0.7447 0.9844
Br: 0.3750 0.8644 0.9894
Br: 0.3833 0.8678 0.8781
Br: 0.4005 0.3373 0.6731
Br: 0.4258 0.9258 0.8516
Br: 0.4774 0.6505 0.5632
Br: 0.4830 0.3942 0.6816
Br: 0.4947 0.0103 0.8781
Br: 0.4982 0.9982 0.5000
Br: 0.5404 0.2013 0.3024
Br: 0.5513 0.7330 0.5888
Br: 0.5793 0.3790 0.3148
Br: 0.6058 0.5170 0.3184
Br: 0.6144 0.1250 0.9894
Br: 0.6178 0.2397 0.9844
Br: 0.6210 0.4207 0.6852
Br: 0.6627 0.5995 0.3269
Br: 0.6642 0.7274 0.3269
Br: 0.6758 0.3242 0.0000
Br: 0.6858 0.8710 0.7003
Br: 0.7125 0.8013 0.3184
Br: 0.7355 0.9358 0.3148
Br: 0.7482 0.7482 0.0000
Br: 0.7603 0.3822 0.0156
Br: 0.7620 0.1011 0.3024
Br: 0.7987 0.4596 0.6976
Br: 0.8511 0.0487 0.8391
Br: 0.8750 0.3856 0.0106
Br: 0.8989 0.2380 0.6976
Br: 0.9513 0.1489 0.1609
Br: 0.9880 0.7904 0.8391
Br: 0.9897 0.5053 0.1219
O: 0.1335 0.1335 0.0000
O: 0.3162 0.0765 0.2148
O: 0.4338 0.1487 0.2604
O: 0.6165 0.1165 0.5000
O: 0.8265 0.1117 0.2604
O: 0.8513 0.5662 0.7396
O: 0.8617 0.1013 0.7852
O: 0.8665 0.8665 0.0000
O: 0.8835 0.3835 0.5000
O: 0.8883 0.1735 0.7396
O: 0.8987 0.1383 0.2148
O: 0.9235 0.6838 0.7852

Properties
Its formation energy from raw total energies is -1.410 eV/atom.

Entry 18:
A plane-wave DFT calculation with PBE was carried out for an optimized crystal structure of TlTcSb2F.

Cell lengths 5.3228, 5.3228, 4.1083 Å; angles 90.00, 90.00, 90.00 degrees
Positions (direct):
Tl: 0.0000 0.0000 0.0000
Tc: 0.5000 0.5000 0.0000
Sb: 0.0000 0.5000 0.5000
Sb: 0.5000 0.0000 0.5000
F: 0.5000 0.5000 0.5000

Properties
Its density of states at the Fermi level is 0.956 states/eV/atom. Its formation energy from raw total energies is 0.348 eV/atom.

Entry 19:
A plane-wave DFT calculation with PBE was carried out for an optimized crystal structure of MgReTe2.

Cell lengths 3.4190, 3.4190, 7.8606 Å; angles 90.00, 90.00, 90.00 degrees
Positions (direct):
Mg: 0.0000 0.0000 0.0000
Re: 0.5000 0.5000 0.1912
Te: 0.0000 0.0000 0.3731
Te: 0.5000 0.5000 0.8030

Properties
Its density of states at the Fermi level is 0.483 states/eV/atom. Its formation energy from raw total energies is 0.135 eV/atom.

Entry 20:
A plane-wave DFT calculation with PBE was carried out for an optimized crystal structure of CrCoSb2.

Cell lengths 3.8915, 5.2321, 5.2321 Å; angles 41.21, 90.00, 90.00 degrees
Positions (direct):
Cr: 0.0000 0.0000 0.0000
Co: 0.5000 0.8491 0.8491
Sb: 0.0000 0.2844 0.2844
Sb: 0.5000 0.5742 0.5742

Properties
Its density of states at the Fermi level is 0.922 states/eV/atom. Its formation energy from raw total energies is 0.138 eV/atom.